VASP calculation (PBE-GGA) on NaAgSe after structural relaxation.

Calculated values
**Uncorrected formation energy**: -0.393 eV per atom

Structure (CIF):
```
data_NaAgSe
_chemical_formula_sum 'Na2 Ag2 Se2'
_cell_length_a 3.9495
_cell_length_b 3.9495
_cell_length_c 8.2969
_cell_angle_alpha 90.00
_cell_angle_beta 90.00
_cell_angle_gamma 90.00
_space_group_name_H-M_alt 'I 4 m m'
_space_group_IT_number 107
_space_group_name_Hall 'I 4 -2'
loop_
_atom_site_label
_atom_site_fract_x
_atom_site_fract_y
_atom_site_fract_z
_atom_site_occupancy
Na1 0.0000 0.0000 0.0000 1
Ag1 0.0000 0.0000 0.3335 1
Se1 0.0000 0.0000 0.6577 1
```



VASP calculation (PBE-GGA) on MgIn6Hg5 after structural relaxation.

Calculated values
**Formation energy**: 0.00 eV/atom

Structure (CIF):
```
data_MgIn6Hg5
_chemical_formula_sum 'Mg2 In12 Hg10'
_cell_length_a 11.1721
_cell_length_b 16.0923
_cell_length_c 3.6089
_cell_angle_alpha 90.00
_cell_angle_beta 105.58
_cell_angle_gamma 90.00
_space_group_name_H-M_alt 'C 1 2/m 1'
_space_group_IT_number 12
loop_
_space_group_symop_operation_xyz
'x,y,z'
'-x,-y,-z'
'-x,y,-z'
'x,-y,z'
'x+1/2,y+1/2,z'
'-x+1/2,-y+1/2,-z'
'-x+1/2,y+1/2,-z'
'x+1/2,-y+1/2,z'
loop_
_atom_site_label
_atom_site_fract_x
_atom_site_fract_y
_atom_site_fract_z
_atom_site_occupancy
Mg1 0.0000 0.0000 0.0000 1
In1 0.2419 0.5000 0.2492 1
In2 0.2480 0.3328 0.7480 1
Hg1 0.0000 0.1467 0.5000 1
Hg2 0.0000 0.3191 0.0000 1
Hg3 0.0000 0.5000 0.5000 1
```



D(E_F)? In order: 0.18 0.36 states/eV/atom.